# 1
K3YAs: relaxed, GGA-PBE.

Cell and atoms, written as POSCAR:
```
K3YAs
1.0
6.790 0.000 0.000
0.000 6.790 0.000
0.000 0.000 6.790
K Y As
3 1 1
Direct
0.000 0.000 0.500
0.000 0.500 0.000
0.500 0.000 0.000
0.000 0.000 0.000
0.500 0.500 0.500
```

* calculated formation energy: 1.12 eV/atom
* space group: Pm-3m (221)

---

# 2
KTaIr2: relaxed, GGA-PBE.

Cell and atoms, written as POSCAR:
```
KTaIr2
1.0
0.000 3.260 3.260
3.260 0.000 3.260
3.260 3.260 0.000
K Ta Ir
1 1 2
Direct
0.000 0.000 0.000
0.750 0.750 0.750
0.250 0.250 0.250
0.500 0.500 0.500
```

* calculated formation energy: 0.97 eV/atom
* space group: F-43m (216)

---

# 3
Ba2SiAu: relaxed, GGA-PBE.

Cell and atoms, written as POSCAR:
```
Ba2SiAu
1.0
0.000 3.892 3.892
3.892 0.000 3.892
3.892 3.892 0.000
Ba Si Au
2 1 1
Direct
0.000 0.000 0.000
0.250 0.250 0.250
0.500 0.500 0.500
0.750 0.750 0.750
```

* space group: F-43m (216)
* ΔE_f (raw): -95 meV per atom

---

# 4
PuCd4Ga: relaxed, GGA-PBE.

Cell and atoms, written as POSCAR:
```
PuCd4Ga
1.0
0.000 4.180 4.180
4.180 0.000 4.180
4.180 4.180 0.000
Pu Cd Ga
1 4 1
Direct
0.000 0.000 0.000
0.375 0.375 0.375
0.375 0.375 0.875
0.375 0.875 0.375
0.875 0.375 0.375
0.750 0.750 0.750
```

* calculated formation energy: 0.07 eV/atom
* space group: F-43m (216)

---

# 5
Pr3Sb2Pb: relaxed, GGA-PBE.

Cell and atoms, written as POSCAR:
```
Pr3Sb2Pb
1.0
-2.253 3.239 6.949
2.253 -3.239 6.949
2.253 3.239 -6.949
Pr Sb Pb
3 2 1
Direct
0.000 0.000 0.000
0.327 0.327 0.000
0.673 0.673 0.000
0.166 0.666 0.500
0.834 0.334 0.500
0.500 0.000 0.500
```

* space group: Immm (71)
* ΔE_f (raw): -936 meV per atom

---

# 6
MnBr: relaxed, GGA-PBE.

Cell and atoms, written as POSCAR:
```
MnBr
1.0
-1.768 1.768 3.604
1.768 -1.768 3.604
1.768 1.768 -3.604
Mn Br
1 1
Direct
0.000 0.000 0.000
0.650 0.650 0.000
```

* space group: I4mm (107)
* ΔE_f (raw): 221 meV per atom

---

# 7
AcMg4In2Ag: relaxed, GGA-PBE.

Cell and atoms, written as POSCAR:
```
AcMg4In2Ag
1.0
2.481 1.432 9.415
-2.481 1.432 9.415
0.000 -2.865 9.415
Ac Mg In Ag
1 4 2 1
Direct
0.000 0.000 0.000
0.135 0.135 0.135
0.404 0.404 0.404
0.596 0.596 0.596
0.865 0.865 0.865
0.255 0.255 0.255
0.745 0.745 0.745
0.500 0.500 0.500
```

* calculated formation energy: -0.19 eV/atom
* space group: R-3m (166)

---

# 8
Rb2Ce3S6: relaxed, GGA-PBE.

Cell and atoms, written as POSCAR:
```
Rb2Ce3S6
1.0
3.625 -6.277 0.000
3.625 6.277 0.000
-2.411 0.000 7.785
Rb Ce S
2 3 6
Direct
0.167 0.833 0.000
0.833 0.167 0.000
0.000 0.000 0.500
0.334 0.666 0.500
0.666 0.334 0.500
0.059 0.395 0.686
0.268 0.268 0.313
0.395 0.059 0.686
0.605 0.941 0.314
0.732 0.732 0.687
0.941 0.605 0.314
```

* space group: C2/m (12)
* ΔE_f (raw): -1817 meV per atom

---

So what do the calculations give for mass density? Going down the list: 1491; 14480; 7040; 8680; 7150; 4969; 5473; 3673 kg/m³.
So what do the calculations give for spin magnetization? Going down the list: 1.000; 0.000; 0.000; 5.895; 0.000; 4.085; 0.000; 2.015 μB per formula unit.
So what do the calculations give for density of states at the Fermi level? Going down the list: 9.15; 4.22; 2.58; 14.71; 3.03; 1.17; 3.19; 13.76 states/eV/f.u..